DFT (PBE-GGA) results for a geometry-optimized Pm3Mg5Rh2 structure.

Cell: 4.342 10.393 10.393 Å, 90.00 90.00 90.00°
Atoms (fractional coordinates):
Pm 0.000 0.000 0.000
Pm 0.000 0.674 0.174
Rh 0.000 0.381 0.119
Rh 0.000 0.881 0.381
Mg 0.500 0.070 0.776
Mg 0.500 0.000 0.500
Mg 0.500 0.776 0.930
Pm 0.000 0.826 0.674
Mg 0.500 0.570 0.724
Mg 0.500 0.430 0.276
Rh 0.000 0.619 0.881
Rh 0.000 0.119 0.619
Mg 0.500 0.500 0.000
Mg 0.500 0.224 0.070
Pm 0.000 0.174 0.326
Mg 0.500 0.724 0.430
Mg 0.500 0.930 0.224
Mg 0.500 0.276 0.570
Pm 0.000 0.500 0.500
Pm 0.000 0.326 0.826

energy of formation	-0.344	eV/atom
DOS at the Fermi energy	0.96	states/eV per atom
relative energy among the computed polymorphs	0.000	eV per atom